# PuMgAu2

A relaxed PuMgAu2 crystal (PBE, the Alexandria database).

Output
formation energy from the elements = -11.5 kcal/mol of atoms

Lattice parameters (Å, degrees): 3.329 3.329 7.486 90.00 90.00 90.00
Atoms (fractional coordinates):
Mg 0.500 0.500 0.000
Au 0.000 0.000 0.783
Au 0.000 0.000 0.217
Pu 0.500 0.500 0.500


# NaTeF

A relaxed NaTeF crystal (PBE, the Alexandria database).

Output
raw total energy = -3.733 eV per atom

Lattice parameters (Å, degrees): 3.235 3.235 11.695 90.00 90.00 90.00
Atoms (fractional coordinates):
F 0.000 0.500 0.601
F 0.500 0.000 0.399
Na 0.500 0.000 0.602
Na 0.000 0.500 0.398
Te 0.000 0.500 0.893
Te 0.500 0.000 0.107


# ThTe2PdN

A relaxed ThTe2PdN crystal (PBE, the Alexandria database).

Output
raw total energy = -6.465 eV per atom

Lattice parameters (Å, degrees): 4.060 4.060 14.488 90.00 90.00 90.00
Atoms (fractional coordinates):
Th 0.500 0.000 0.581
Th 0.000 0.500 0.419
Te 0.000 0.500 0.718
Te 0.000 0.500 0.084
Te 0.500 0.000 0.916
Te 0.500 0.000 0.282
Pd 0.500 0.000 0.099
Pd 0.000 0.500 0.901
N 0.000 0.000 0.500
N 0.500 0.500 0.500


# Tb2SmCu

A relaxed Tb2SmCu crystal (PBE, the Alexandria database).

Output
formation energy from the elements = -1.4 kcal/mol of atoms

Lattice parameters (Å, degrees): 4.946 6.355 7.556 90.00 90.00 112.89
Atoms (fractional coordinates):
Tb 0.352 0.704 0.531
Tb 0.648 0.296 0.469
Tb 0.352 0.704 0.969
Tb 0.648 0.296 0.031
Sm 0.954 0.907 0.250
Sm 0.046 0.093 0.750
Cu 0.799 0.598 0.750
Cu 0.201 0.402 0.250


# CsB2SbI

A relaxed CsB2SbI crystal (PBE, the Alexandria database).

Output
raw total energy = -2.161 eV per atom

Lattice parameters (Å, degrees): 5.413 5.977 5.413 90.00 90.00 90.00
Atoms (fractional coordinates):
Cs 0.500 0.500 0.500
I 0.000 0.000 0.000
B 0.000 0.000 0.500
B 0.500 0.000 0.000
Sb 0.000 0.500 0.000


# NpPdAu4

A relaxed NpPdAu4 crystal (PBE, the Alexandria database).

Output
formation energy from the elements = -3.9 kcal/mol of atoms

Lattice parameters (Å, degrees): 4.919 5.635 8.887 71.52 89.84 89.48
Atoms (fractional coordinates):
Np 0.750 0.379 0.242
Np 0.250 0.621 0.758
Pd 0.750 0.870 0.260
Pd 0.250 0.130 0.740
Au 0.250 0.543 0.418
Au 0.247 0.716 0.084
Au 0.750 0.961 0.582
Au 0.747 0.800 0.916
Au 0.750 0.457 0.582
Au 0.250 0.039 0.418
Au 0.753 0.284 0.916
Au 0.253 0.200 0.084


# LaAlRe2

A relaxed LaAlRe2 crystal (PBE, the Alexandria database).

Output
formation energy from the elements = 3.7 kcal/mol of atoms

Lattice parameters (Å, degrees): 4.418 4.418 6.534 80.84 80.84 42.16
Atoms (fractional coordinates):
Re 0.011 0.011 0.908
Re 0.744 0.744 0.770
Al 0.486 0.486 0.578
La 0.259 0.259 0.244


# Cu3TcH7

A relaxed Cu3TcH7 crystal (PBE, the Alexandria database).

Output
raw total energy = -3.997 eV per atom

Lattice parameters (Å, degrees): 4.407 4.407 4.861 71.74 71.74 102.43
Atoms (fractional coordinates):
Cu 0.796 0.271 0.487
Cu 0.440 0.440 0.025
Cu 0.271 0.796 0.487
Tc 0.943 0.943 0.021
H 0.089 0.089 0.280
H 0.688 0.149 0.183
H 0.016 0.344 0.724
H 0.149 0.688 0.183
H 0.606 0.606 0.350
H 0.344 0.016 0.724
H 0.784 0.784 0.786


# LiMnCd

A relaxed LiMnCd crystal (PBE, the Alexandria database).

Output
formation energy from the elements = 4.3 kcal/mol of atoms

Lattice parameters (Å, degrees): 5.177 5.177 5.177 142.25 142.25 54.44
Atoms (fractional coordinates):
Cd 0.997 0.997 0.000
Li 0.332 0.332 0.000
Mn 0.671 0.671 0.000


# SmCuSi2Ir

A relaxed SmCuSi2Ir crystal (PBE, the Alexandria database).

Output
raw total energy = -6.473 eV per atom

Lattice parameters (Å, degrees): 4.084 4.084 5.792 110.64 110.64 90.00
Atoms (fractional coordinates):
Sm 0.000 0.000 0.000
Cu 0.250 0.750 0.500
Si 0.620 0.620 0.241
Si 0.380 0.380 0.759
Ir 0.750 0.250 0.500


# MgSi

A relaxed MgSi crystal (PBE, the Alexandria database).

Output
raw total energy = -3.457 eV per atom

Lattice parameters (Å, degrees): 5.470 5.470 10.170 80.62 80.62 48.04
Atoms (fractional coordinates):
Mg 0.405 0.405 0.146
Mg 0.908 0.908 0.686
Mg 0.785 0.785 0.386
Mg 0.092 0.092 0.314
Mg 0.215 0.215 0.614
Mg 0.595 0.595 0.854
Si 0.705 0.705 0.140
Si 0.566 0.566 0.590
Si 0.295 0.295 0.860
Si 0.892 0.892 0.958
Si 0.108 0.108 0.042
Si 0.434 0.434 0.410


# Cu2PtSe

A relaxed Cu2PtSe crystal (PBE, the Alexandria database).

Output
raw total energy = -4.380 eV per atom

Lattice parameters (Å, degrees): 6.083 6.083 6.083 152.52 141.17 48.22
Atoms (fractional coordinates):
Cu 0.049 0.049 0.000
Cu 0.685 0.185 0.500
Pt 0.478 0.478 0.000
Se 0.287 0.787 0.500


# Li3Mg5In3

A relaxed Li3Mg5In3 crystal (PBE, the Alexandria database).

Output
formation energy from the elements = 1.0 kcal/mol of atoms

Lattice parameters (Å, degrees): 2.940 10.047 10.047 120.00 90.00 90.00
Atoms (fractional coordinates):
Li 0.500 0.838 0.000
Li 0.500 0.162 0.162
Li 0.500 0.000 0.838
Mg 0.500 0.667 0.333
Mg 0.500 0.333 0.667
Mg 0.500 0.328 0.000
Mg 0.500 0.672 0.672
Mg 0.500 0.000 0.328
In 0.000 0.595 0.000
In 0.000 0.000 0.595
In 0.000 0.405 0.405


# Co2CuNi

A relaxed Co2CuNi crystal (PBE, the Alexandria database).

Output
formation energy from the elements = 2.4 kcal/mol of atoms

Lattice parameters (Å, degrees): 2.447 2.447 8.355 90.00 90.00 115.62
Atoms (fractional coordinates):
Co 0.000 0.000 0.002
Co 0.500 0.500 0.243
Cu 0.000 0.000 0.501
Ni 0.500 0.500 0.754


# CaSc2As

A relaxed CaSc2As crystal (PBE, the Alexandria database).

Output
formation energy from the elements = -8.0 kcal/mol of atoms

Lattice parameters (Å, degrees): 5.958 5.958 5.958 137.78 137.78 61.24
Atoms (fractional coordinates):
Sc 0.000 0.000 0.000
Sc 0.500 0.500 0.000
As 0.250 0.750 0.500
Ca 0.750 0.250 0.500


# Th2Zr3Bi2

A relaxed Th2Zr3Bi2 crystal (PBE, the Alexandria database).

Output
formation energy from the elements = -6.1 kcal/mol of atoms

Lattice parameters (Å, degrees): 4.147 6.325 8.342 108.73 90.00 109.14
Atoms (fractional coordinates):
Th 0.888 0.777 0.225
Th 0.112 0.223 0.775
Zr 0.500 0.000 0.000
Zr 0.619 0.238 0.452
Zr 0.381 0.762 0.548
Bi 0.831 0.661 0.787
Bi 0.169 0.339 0.213


# NbNiGe

A relaxed NbNiGe crystal (PBE, the Alexandria database).

Output
formation energy from the elements = -11.8 kcal/mol of atoms

Lattice parameters (Å, degrees): 3.785 6.342 7.245 90.00 90.00 90.00
Atoms (fractional coordinates):
Ni 0.750 0.842 0.431
Ni 0.250 0.158 0.569
Ni 0.750 0.342 0.069
Ni 0.250 0.658 0.931
Nb 0.750 0.481 0.676
Nb 0.250 0.519 0.324
Nb 0.750 0.981 0.824
Nb 0.250 0.019 0.176
Ge 0.750 0.220 0.383
Ge 0.250 0.780 0.617
Ge 0.750 0.720 0.117
Ge 0.250 0.280 0.883


# La2In6IrPt

A relaxed La2In6IrPt crystal (PBE, the Alexandria database).

Output
formation energy from the elements = -5.6 kcal/mol of atoms

Lattice parameters (Å, degrees): 7.309 7.309 7.309 60.00 60.00 90.00
Atoms (fractional coordinates):
La 0.250 0.750 0.500
La 0.750 0.250 0.500
In 0.250 0.750 0.000
In 0.750 0.750 0.000
In 0.250 0.250 0.501
In 0.750 0.250 0.000
In 0.250 0.250 0.000
In 0.750 0.750 0.499
Ir 0.000 0.000 0.000
Pt 0.500 0.500 0.000


# Li2TcRuO6

A relaxed Li2TcRuO6 crystal (PBE, the Alexandria database).

Output
raw total energy = -6.662 eV per atom

Lattice parameters (Å, degrees): 3.810 5.551 5.551 90.00 90.00 90.00
Atoms (fractional coordinates):
Li 0.865 0.500 0.000
Li 0.865 0.000 0.500
Tc 0.689 0.000 0.000
Ru 0.705 0.500 0.500
O 0.725 0.246 0.246
O 0.725 0.246 0.754
O 0.212 0.500 0.500
O 0.211 0.000 0.000
O 0.725 0.754 0.754
O 0.725 0.754 0.246


# CdOs2Rh

A relaxed CdOs2Rh crystal (PBE, the Alexandria database).

Output
formation energy from the elements = 11.1 kcal/mol of atoms

Lattice parameters (Å, degrees): 2.745 2.745 8.276 90.00 90.00 90.00
Atoms (fractional coordinates):
Cd 0.500 0.500 0.500
Os 0.000 0.000 0.772
Os 0.000 0.000 0.228
Rh 0.500 0.500 0.000


# TaAsO3

A relaxed TaAsO3 crystal (PBE, the Alexandria database).

Output
raw total energy = -6.397 eV per atom

Lattice parameters (Å, degrees): 3.911 3.911 3.911 90.00 90.00 90.00
Atoms (fractional coordinates):
As 0.000 0.000 0.000
O 0.000 0.500 0.000
O 0.000 0.000 0.500
O 0.500 0.000 0.000
Ta 0.500 0.500 0.500


# Rb2SnBi4

A relaxed Rb2SnBi4 crystal (PBE, the Alexandria database).

Output
formation energy from the elements = 5.4 kcal/mol of atoms

Lattice parameters (Å, degrees): 5.972 5.972 10.293 73.14 73.14 90.00
Atoms (fractional coordinates):
Bi 0.848 0.848 0.304
Bi 0.152 0.152 0.696
Bi 0.000 0.500 0.000
Bi 0.500 0.000 0.000
Rb 0.642 0.642 0.716
Rb 0.358 0.358 0.284
Sn 0.000 0.000 0.000


# MoOs2Cl

A relaxed MoOs2Cl crystal (PBE, the Alexandria database).

Output
raw total energy = -7.535 eV per atom

Lattice parameters (Å, degrees): 4.609 4.609 2.881 90.00 90.00 90.00
Atoms (fractional coordinates):
Cl 0.500 0.000 0.500
Mo 0.000 0.500 0.500
Os 0.000 0.000 0.000
Os 0.500 0.500 0.000


# LiS2ClO

A relaxed LiS2ClO crystal (PBE, the Alexandria database).

Output
raw total energy = -2.418 eV per atom

Lattice parameters (Å, degrees): 4.475 4.475 4.311 90.00 90.00 90.00
Atoms (fractional coordinates):
S 0.000 0.500 0.000
S 0.500 0.000 0.000
Li 0.000 0.000 0.000
O 0.500 0.500 0.500
Cl 0.000 0.000 0.500


# TbAlZnAg3

A relaxed TbAlZnAg3 crystal (PBE, the Alexandria database).

Output
formation energy from the elements = -0.1 kcal/mol of atoms

Lattice parameters (Å, degrees): 5.516 8.445 7.100 126.49 90.00 90.00
Atoms (fractional coordinates):
Tb 0.750 0.323 0.647
Tb 0.250 0.677 0.353
Al 0.250 0.941 0.881
Al 0.750 0.059 0.119
Zn 0.250 0.408 0.817
Zn 0.750 0.592 0.183
Ag 0.250 0.174 0.349
Ag 0.000 0.255 0.000
Ag 0.500 0.745 0.000
Ag 0.500 0.255 0.000
Ag 0.000 0.745 0.000
Ag 0.750 0.826 0.651


Looking at size of the total moment for the records above, in order, we have 5.72; 0.00; 0.00; 0.00; 0.00; 7.83; 0.00; 0.00; 4.14; 0.00; 0.00; 0.00; 0.00; 3.92; 0.87; 0.00; 0.00; 0.00; 0.26; 0.00; 2.56; 0.00; 0.00; 0.90; 0.00 Bohr magnetons per cell.